No. 1
Computed, not measured: Pm12TlPd6 after structural relaxation at the PBE level of DFT.

The structure in POSCAR format:
```
Pm12TlPd6
1.0
7.263 4.193 3.060
-7.263 4.193 3.060
0.000 -8.387 3.060
Pm Tl Pd
12 1 6
direct
0.054 0.114 0.352 Pm
0.114 0.352 0.054 Pm
0.177 0.643 0.469 Pm
0.352 0.054 0.114 Pm
0.357 0.531 0.823 Pm
0.469 0.177 0.643 Pm
0.531 0.823 0.357 Pm
0.643 0.469 0.177 Pm
0.648 0.946 0.886 Pm
0.823 0.357 0.531 Pm
0.886 0.648 0.946 Pm
0.946 0.886 0.648 Pm
0.500 0.500 0.500 Tl
0.146 0.717 0.789 Pd
0.211 0.854 0.283 Pd
0.283 0.211 0.854 Pd
0.717 0.789 0.146 Pd
0.789 0.146 0.717 Pd
0.854 0.283 0.211 Pd
```

Output
Total magnetization, μB/cell: 0.00
Total energy, eV/atom: -5.198
DOS at the Fermi energy, states/eV per cell: 17.212
Symmetry: R-3
DFT formation energy, eV per atom: -0.43
ΔE to the lowest computed polymorph, meV per atom: 112



No. 2
Computed, not measured: Pm6Tl2Pd after structural relaxation at the PBE level of DFT.

The structure in POSCAR format:
```
Pm6Tl2Pd
1.0
8.957 0.000 0.000
-4.478 7.757 0.000
0.000 0.000 3.879
Pm Tl Pd
6 2 1
direct
0.000 0.248 0.000 Pm
0.000 0.601 0.500 Pm
0.248 0.000 0.000 Pm
0.399 0.399 0.500 Pm
0.601 0.000 0.500 Pm
0.752 0.752 0.000 Pm
0.333 0.667 0.000 Tl
0.667 0.333 0.000 Tl
0.000 0.000 0.500 Pd
```

Output
Total magnetization, μB/cell: 0.00
Total energy, eV/atom: -4.629
DOS at the Fermi energy, states/eV per cell: 13.866
Symmetry: P-62m
DFT formation energy, eV per atom: -0.36



No. 3
Computed, not measured: Pm6TlPd5 after structural relaxation at the PBE level of DFT.

The structure in POSCAR format:
```
Pm6TlPd5
1.0
3.857 -5.883 0.000
3.857 5.883 0.000
-1.963 0.000 7.049
Pm Tl Pd
6 1 5
direct
0.037 0.398 0.720 Pm
0.200 0.200 0.223 Pm
0.398 0.037 0.720 Pm
0.602 0.963 0.280 Pm
0.800 0.800 0.777 Pm
0.963 0.602 0.280 Pm
0.500 0.500 0.000 Tl
0.000 0.000 0.500 Pd
0.193 0.807 0.000 Pd
0.371 0.629 0.500 Pd
0.629 0.371 0.500 Pd
0.807 0.193 0.000 Pd
```

Output
Total magnetization, μB/cell: 0.00
Total energy, eV/atom: -5.332
DOS at the Fermi energy, states/eV per cell: 7.597
Symmetry: C2/m
DFT formation energy, eV per atom: -0.60



No. 4
Computed, not measured: PmTl2Pd8 after structural relaxation at the PBE level of DFT.

The structure in POSCAR format:
```
PmTl2Pd8
1.0
3.794 -7.155 0.000
3.794 7.155 0.000
-3.279 0.000 3.761
Pm Tl Pd
1 2 8
direct
0.000 0.000 0.000 Pm
0.315 0.685 0.500 Tl
0.685 0.315 0.500 Tl
0.103 0.371 0.723 Pd
0.198 0.802 0.000 Pd
0.371 0.103 0.723 Pd
0.477 0.477 0.229 Pd
0.523 0.523 0.771 Pd
0.629 0.897 0.277 Pd
0.802 0.198 0.000 Pd
0.897 0.629 0.277 Pd
```

Output
Total magnetization, μB/cell: 0.00
Total energy, eV/atom: -4.935
DOS at the Fermi energy, states/eV per cell: 5.550
Symmetry: C2/m
DFT formation energy, eV per atom: -0.30



No. 5
Computed, not measured: Pm12TlPd5 after structural relaxation at the PBE level of DFT.

The structure in POSCAR format:
```
Pm12TlPd5
1.0
-4.859 5.015 5.277
4.859 -5.015 5.277
4.859 5.015 -5.277
Pm Tl Pd
12 1 5
direct
0.035 0.224 0.811 Pm
0.179 0.288 0.467 Pm
0.179 0.712 0.891 Pm
0.326 0.024 0.699 Pm
0.326 0.627 0.301 Pm
0.412 0.224 0.189 Pm
0.588 0.776 0.811 Pm
0.674 0.373 0.699 Pm
0.674 0.976 0.301 Pm
0.821 0.288 0.109 Pm
0.821 0.712 0.533 Pm
0.965 0.776 0.189 Pm
0.500 0.500 0.000 Tl
0.000 0.000 0.000 Pd
0.131 0.631 0.500 Pd
0.353 0.000 0.353 Pd
0.647 0.000 0.647 Pd
0.869 0.369 0.500 Pd
```

Output
Total magnetization, μB/cell: 0.00
Total energy, eV/atom: -5.241
DOS at the Fermi energy, states/eV per cell: 17.235
Symmetry: Immm
DFT formation energy, eV per atom: -0.50



No. 6
Computed, not measured: Pm2TlPd9 after structural relaxation at the PBE level of DFT.

The structure in POSCAR format:
```
Pm2TlPd9
1.0
4.171 0.000 0.000
0.000 4.171 0.000
0.000 0.000 12.365
Pm Tl Pd
2 1 9
direct
0.000 0.000 0.171 Pm
0.000 0.000 0.829 Pm
0.000 0.000 0.500 Tl
0.000 0.500 0.000 Pd
0.000 0.500 0.339 Pd
0.000 0.500 0.661 Pd
0.500 0.000 0.000 Pd
0.500 0.000 0.339 Pd
0.500 0.000 0.661 Pd
0.500 0.500 0.169 Pd
0.500 0.500 0.500 Pd
0.500 0.500 0.831 Pd
```

Output
Total magnetization, μB/cell: 0.00
Total energy, eV/atom: -5.481
DOS at the Fermi energy, states/eV per cell: 7.410
Symmetry: P4/mmm
DFT formation energy, eV per atom: -0.60



No. 7
Computed, not measured: PmTl3Pd6 after structural relaxation at the PBE level of DFT.

The structure in POSCAR format:
```
PmTl3Pd6
1.0
8.262 0.000 0.000
0.000 4.673 0.000
-3.121 0.000 10.290
Pm Tl Pd
2 6 12
direct
0.109 0.250 0.237 Pm
0.891 0.750 0.763 Pm
0.150 0.250 0.702 Tl
0.303 0.750 0.099 Tl
0.466 0.750 0.658 Tl
0.534 0.250 0.342 Tl
0.697 0.250 0.901 Tl
0.850 0.750 0.298 Tl
0.055 0.250 0.940 Pd
0.107 0.750 0.540 Pd
0.267 0.750 0.835 Pd
0.303 0.250 0.507 Pd
0.331 0.750 0.364 Pd
0.400 0.250 0.983 Pd
0.600 0.750 0.017 Pd
0.669 0.250 0.636 Pd
0.697 0.750 0.493 Pd
0.733 0.250 0.165 Pd
0.893 0.250 0.460 Pd
0.945 0.750 0.060 Pd
```

Output
Total magnetization, μB/cell: 0.00
Total energy, eV/atom: -4.639
DOS at the Fermi energy, states/eV per cell: 8.733
Symmetry: P2_1/m
DFT formation energy, eV per atom: -0.34



No. 8
Computed, not measured: Pm3TlPd4 after structural relaxation at the PBE level of DFT.

The structure in POSCAR format:
```
Pm3TlPd4
1.0
-3.142 5.277 2.862
3.142 -5.277 2.862
3.142 5.277 -2.862
Pm Tl Pd
3 1 4
direct
0.000 0.000 0.000 Pm
0.103 0.792 0.311 Pm
0.481 0.792 0.689 Pm
0.840 0.340 0.500 Tl
0.067 0.289 0.778 Pd
0.487 0.279 0.792 Pd
0.487 0.695 0.208 Pd
0.511 0.289 0.222 Pd
```

Output
Total magnetization, μB/cell: 0.00
Total energy, eV/atom: -5.213
DOS at the Fermi energy, states/eV per cell: 4.338
Symmetry: Imm2
DFT formation energy, eV per atom: -0.54